Material: Pm3Ho7Sc2
Method: DFT, PBE
State: optimized geometry Values from VASP.

```
&SYSTEM
  ibrav = 0, nat = 12, ntyp = 3
/
ATOMIC_SPECIES
Ho 164.93 Ho.upf
Pm 145.00 Pm.upf
Sc 44.96 Sc.upf
CELL_PARAMETERS angstrom
3.5414 0.0000 -0.4648
0.0000 5.4876 0.0000
0.8453 0.0000 20.1677
ATOMIC_POSITIONS crystal
Ho 0.0703 0.5000 0.1381
Ho 0.2843 0.5000 0.5700
Ho 0.0000 0.0000 0.0000
Ho 0.7157 0.5000 0.4300
Ho 0.4104 0.0000 0.8234
Ho 0.9297 0.5000 0.8619
Ho 0.5896 0.0000 0.1766
Pm 0.1711 0.0000 0.3393
Pm 0.5000 0.5000 0.0000
Pm 0.8289 0.0000 0.6607
Sc 0.6391 0.5000 0.2749
Sc 0.3609 0.5000 0.7251
```

Calculated values
Calculated formation energy in meV per atom: 238
Energy relative to the lowest polymorph listed for this composition in meV per atom: 135.6
Magnetic moment in μB per cell: 0.000
Uncorrected energy in eV/cell: -56.10



Material: MgSi2Rh
Method: DFT, PBE
State: optimized geometry Values from VASP.

```
&SYSTEM
  ibrav = 0, nat = 4, ntyp = 3
/
ATOMIC_SPECIES
Mg 24.30 Mg.upf
Si 28.09 Si.upf
Rh 102.91 Rh.upf
CELL_PARAMETERS angstrom
-1.0319 4.6722 -0.0861
-4.6759 0.6880 -0.7514
2.4155 -2.7274 3.1029
ATOMIC_POSITIONS crystal
Mg 0.5000 0.5000 0.0000
Si 0.0000 0.0000 0.0000
Si 0.2500 0.7500 0.5000
Rh 0.7500 0.2500 0.5000
```

Calculated values
Magnetic moment in μB per cell: 0.000
Uncorrected energy in eV/cell: -20.48



Material: MgSiOs2
Method: DFT, PBE
State: optimized geometry Values from VASP.

```
&SYSTEM
  ibrav = 0, nat = 4, ntyp = 3
/
ATOMIC_SPECIES
Os 190.23 Os.upf
Mg 24.30 Mg.upf
Si 28.09 Si.upf
CELL_PARAMETERS angstrom
-3.8318 -6.8948 3.1416
-4.5619 -7.1504 0.3911
-2.0392 -8.1394 1.2974
ATOMIC_POSITIONS crystal
Os 0.4903 0.4903 0.4903
Os 0.0097 0.0097 0.0097
Mg 0.2500 0.2500 0.2500
Si 0.7500 0.7500 0.7500
```

Calculated values
Magnetic moment in μB per cell: 0.000
Uncorrected energy in eV/cell: -29.31



Material: BaSrCd2
Method: DFT, PBE
State: optimized geometry Values from VASP.

```
&SYSTEM
  ibrav = 0, nat = 4, ntyp = 3
/
ATOMIC_SPECIES
Ba 137.33 Ba.upf
Cd 112.41 Cd.upf
Sr 87.62 Sr.upf
CELL_PARAMETERS angstrom
6.7083 -0.0426 0.0740
5.4832 3.8648 0.0740
2.0094 0.6300 5.5228
ATOMIC_POSITIONS crystal
Ba 0.7262 0.7262 0.7930
Cd 0.9673 0.9673 0.0079
Cd 0.2816 0.2816 0.2485
Sr 0.5249 0.5249 0.4505
```

Calculated values
Calculated formation energy in meV per atom: -247
Magnetic moment in μB per cell: 0.000
Uncorrected energy in eV/cell: -6.42



Material: Pu12Si5Pb
Method: DFT, PBE
State: optimized geometry Values from VASP.

```
&SYSTEM
  ibrav = 0, nat = 18, ntyp = 3
/
ATOMIC_SPECIES
Pu 244.00 Pu.upf
Si 28.09 Si.upf
Pb 207.20 Pb.upf
CELL_PARAMETERS angstrom
7.6512 -0.4150 -3.0498
-4.1644 6.8289 -2.0095
-0.1266 0.4150 8.2357
ATOMIC_POSITIONS crystal
Pu 0.5489 0.8138 0.7352
Pu 0.9214 0.1862 0.7352
Pu 0.7180 0.3111 0.0291
Pu 0.7933 0.0284 0.2350
Pu 0.4511 0.1862 0.2648
Pu 0.7180 0.6889 0.4068
Pu 0.7933 0.5583 0.7650
Pu 0.2820 0.6889 0.9709
Pu 0.2067 0.4417 0.2350
Pu 0.2820 0.3111 0.5932
Pu 0.2067 0.9716 0.7650
Pu 0.0786 0.8138 0.2648
Si 0.5000 0.1163 0.6163
Si 0.5000 0.8837 0.3837
Si 0.6300 0.6300 0.0000
Si 0.3700 0.3700 0.0000
Si 0.0000 0.0000 0.0000
Pb 0.0000 0.5000 0.5000
```

Calculated values
Magnetic moment in μB per cell: 22.976
Uncorrected energy in eV/cell: -205.45



Material: K2AgIrO6
Method: DFT, PBE
State: optimized geometry Values from VASP.

```
&SYSTEM
  ibrav = 0, nat = 10, ntyp = 4
/
ATOMIC_SPECIES
O 16.00 O.upf
Ag 107.87 Ag.upf
K 39.10 K.upf
Ir 192.22 Ir.upf
CELL_PARAMETERS angstrom
-4.4080 -2.7285 -2.9922
0.8461 -1.7109 -5.6732
0.4445 -5.8175 -1.3370
ATOMIC_POSITIONS crystal
O 0.7781 0.2219 0.2219
O 0.2219 0.7781 0.2219
O 0.7781 0.2219 0.7781
O 0.2219 0.7781 0.7781
O 0.7781 0.7781 0.2219
O 0.2219 0.2219 0.7781
Ag 0.5000 0.5000 0.5000
K 0.2500 0.2500 0.2500
K 0.7500 0.7500 0.7500
Ir 0.0000 0.0000 0.0000
```

Calculated values
Magnetic moment in μB per cell: 0.000
Uncorrected energy in eV/cell: -50.70